(1)
Below is an optimized crystal structure of BaEuSi, with properties calculated at the PBE level.

Computed properties:
Its crystal system is trigonal. The calculation puts the electronic total energy at -6.041 eV/atom. The total moment comes out at 7.0 μB per cell. Its density of states at the Fermi level is 2.424 states/eV per atom. As for the energy relative to the elements, uncorrected: -0.167 eV per atom.

Cell: 5.0726 5.0726 4.8790 Å, 90.00 90.00 120.00°
Space group P3m1 (No. 156)
Symmetry-distinct sites (fractional):
Ba1 0.0000 0.0000 0.0000 (multiplicity 1)
Eu1 0.3333 0.6667 0.4748 (multiplicity 1)
Si1 0.6667 0.3333 0.6092 (multiplicity 1)

=====

(2)
Below is an optimized crystal structure of BaEuSi, with properties calculated at the PBE level.

Computed properties:
Its crystal system is cubic. The calculation puts the electronic total energy at -6.142 eV/atom. The total moment comes out at 28.0 μB per cell. Its density of states at the Fermi level is 3.647 states/eV per atom. As for the energy relative to the elements, uncorrected: -0.268 eV per atom.

Cell: 7.703 7.703 7.703 Å, 90.00 90.00 90.00°
Space group F-43m (No. 216)
Symmetry-distinct sites (fractional):
Ba1 0.000 0.000 0.000 (multiplicity 4)
Eu1 0.000 0.000 0.500 (multiplicity 4)
Si1 0.250 0.250 0.250 (multiplicity 4)